Entry 1:
A relaxed Ca2YBr2N2 crystal. Source: Alexandria via LeMat-Bulk, functional GGA-PBE.

CIF file:
```
data_Ca2YBr2N2
_cell_length_a 4.423
_cell_length_b 4.423
_cell_length_c 15.645
_cell_angle_alpha 90.00
_cell_angle_beta 90.00
_cell_angle_gamma 90.00
_space_group_name_H-M_alt 'I 4/m m m'
_space_group_IT_number 139
_space_group_name_Hall '-I 4 2'
loop_
_atom_site_label
_atom_site_type_symbol
_atom_site_fract_x
_atom_site_fract_y
_atom_site_fract_z
Ca1 Ca 0.000 0.000 0.100
Y1 Y 0.000 0.000 0.500
Br1 Br 0.000 0.000 0.314
N1 N 0.000 0.500 0.000
```

Computed properties:
* N(E_F): 2.6 states/eV/f.u.
* E: -39.40 eV per formula unit

=====

Entry 2:
A relaxed Ca2ZrBr2N2 crystal. Source: Alexandria via LeMat-Bulk, functional GGA-PBE.

CIF file:
```
data_Ca2ZrBr2N2
_cell_length_a 4.285
_cell_length_b 4.285
_cell_length_c 16.806
_cell_angle_alpha 90.00
_cell_angle_beta 90.00
_cell_angle_gamma 90.00
_space_group_name_H-M_alt 'I 4/m m m'
_space_group_IT_number 139
_space_group_name_Hall '-I 4 2'
loop_
_atom_site_label
_atom_site_type_symbol
_atom_site_fract_x
_atom_site_fract_y
_atom_site_fract_z
Ca1 Ca 0.000 0.000 0.088
Zr1 Zr 0.000 0.000 0.500
Br1 Br 0.000 0.000 0.330
N1 N 0.000 0.500 0.000
```

Computed properties:
* E: -42.94 eV per formula unit

=====

Entry 3:
A relaxed NaCa3Br crystal. Source: Alexandria via LeMat-Bulk, functional GGA-PBE.

CIF file:
```
data_NaCa3Br
_cell_length_a 6.292
_cell_length_b 6.292
_cell_length_c 6.292
_cell_angle_alpha 90.00
_cell_angle_beta 90.00
_cell_angle_gamma 90.00
_space_group_name_H-M_alt 'P m -3 m'
_space_group_IT_number 221
_space_group_name_Hall '-P 4 2 3'
loop_
_atom_site_label
_atom_site_type_symbol
_atom_site_fract_x
_atom_site_fract_y
_atom_site_fract_z
Na1 Na 0.000 0.000 0.000
Ca1 Ca 0.000 0.000 0.500
Br1 Br 0.500 0.500 0.500
```

Computed properties:
* N(E_F): 3.2 states/eV/f.u.
* E: -8.27 eV per formula unit

=====

Entry 4:
A relaxed NaCaBr3 crystal. Source: Alexandria via LeMat-Bulk, functional GGA-PBE.

CIF file:
```
data_NaCaBr3
_cell_length_a 4.166
_cell_length_b 13.689
_cell_length_c 10.648
_cell_angle_alpha 90.00
_cell_angle_beta 90.00
_cell_angle_gamma 90.00
_space_group_name_H-M_alt 'C m c m'
_space_group_IT_number 63
_space_group_name_Hall '-C 2c 2'
loop_
_atom_site_label
_atom_site_type_symbol
_atom_site_fract_x
_atom_site_fract_y
_atom_site_fract_z
Na1 Na 0.000 0.247 0.250
Ca1 Ca 0.000 0.500 0.000
Br1 Br 0.000 0.138 0.570
Br2 Br 0.000 0.408 0.750
```

Computed properties:
* N(E_F): 0.0 states/eV/f.u.
* E: -17.45 eV per formula unit

=====

Entry 5:
A relaxed NaCaBr3 crystal. Source: Alexandria via LeMat-Bulk, functional GGA-PBE.

CIF file:
```
data_NaCaBr3
_cell_length_a 5.347
_cell_length_b 5.347
_cell_length_c 5.347
_cell_angle_alpha 90.00
_cell_angle_beta 90.00
_cell_angle_gamma 90.00
_space_group_name_H-M_alt 'P m -3 m'
_space_group_IT_number 221
_space_group_name_Hall '-P 4 2 3'
loop_
_atom_site_label
_atom_site_type_symbol
_atom_site_fract_x
_atom_site_fract_y
_atom_site_fract_z
Na1 Na 0.000 0.000 0.000
Ca1 Ca 0.500 0.500 0.500
Br1 Br 0.000 0.000 0.500
```

Computed properties:
* N(E_F): 0.0 states/eV/f.u.
* E: -14.97 eV per formula unit

=====

Entry 6:
A relaxed NaCa3Br crystal. Source: Alexandria via LeMat-Bulk, functional GGA-PBE.

CIF file:
```
data_NaCa3Br
_cell_length_a 6.024
_cell_length_b 6.024
_cell_length_c 6.024
_cell_angle_alpha 90.00
_cell_angle_beta 90.00
_cell_angle_gamma 90.00
_space_group_name_H-M_alt 'P m -3 m'
_space_group_IT_number 221
_space_group_name_Hall '-P 4 2 3'
loop_
_atom_site_label
_atom_site_type_symbol
_atom_site_fract_x
_atom_site_fract_y
_atom_site_fract_z
Na1 Na 0.000 0.000 0.000
Ca1 Ca 0.000 0.500 0.500
Br1 Br 0.500 0.500 0.500
```

Computed properties:
* N(E_F): 6.0 states/eV/f.u.
* E: -10.35 eV per formula unit

=====

- Which of these has the highest E?
  number 3

=====

- Which value of E does entry 2 give?
  -42.94 eV per formula unit

=====

- E of number 2 (Ca2ZrBr2N2)?
  -42.94 eV per formula unit